Compound: SbMoPCl2
Source: Alexandria via LeMat-Bulk
Functional: PBE-GGA
Structure: optimized geometry

Lattice parameters (Å, degrees): 4.7925 4.7925 4.9777 90.00 90.00 90.00
Closest atoms and distances in Å follow each position.
Atoms (fractional coordinates):
Cl1 0.5000 0.0000 0.0000  2 Mo 2.40
Cl2 0.0000 0.5000 0.0000  2 Mo 2.40
P1 0.0000 0.0000 0.5000  2 Mo 2.49
Mo1 0.0000 0.0000 0.0000  4 Cl 2.40, 2 P 2.49
Sb1 0.5000 0.5000 0.5000  4 P 3.39, 8 Cl 3.45

Electronic total energy   -0.16701 Ha/atom
Space-group type   No. 123
Spin magnetization   2.834 μB/f.u.
Energy relative to the elements, uncorrected   0.2668 eV/atom
Calculated volume   114.33 Å³ per cell